{"formula": "Zr3SiH", "functional": "meta-GGA SCAN", "state": "single point on PBEsol structure", "cell": [[4.290, 0.000, 0.000], [0.000, 4.290, 0.000], [0.000, 0.000, 4.290]], "species": ["Zr", "Zr", "Zr", "Si", "H"], "fractional_positions": [[0.000, 0.000, 0.500], [0.000, 0.500, 0.000], [0.500, 0.000, 0.000], [0.500, 0.500, 0.500], [0.000, 0.000, 0.000]], "spacegroup": "No. 221", "n_ef_per_ev_atom": 0.90, "dft_energy_ev_per_fu": -107.84}